No. 1
First-principles (PBE-GGA) data for Al2HgOs after structural relaxation, as listed in Alexandria.

Cell lengths 6.4167, 6.4167, 6.4167 Å; angles 90.00, 90.00, 90.00 degrees
Last column: nearest neighbours and their distance in Å.
Space group F-43m (No. 216)
Asymmetric unit:
Al (0.0000, 0.0000, 0.0000) x4  4 Hg 2.78, 4 Al 2.78
Al (0.2500, 0.2500, 0.2500) x4  4 Al 2.78, 4 Os 2.78
Hg (0.2500, 0.2500, 0.7500) x4  4 Os 2.78, 4 Al 2.78
Os (0.0000, 0.0000, 0.5000) x4  4 Al 2.78, 4 Hg 2.78

Computed properties:
volume	16.51	Å³/atom
energy of formation from the pure elements	0.46	eV/atom

No. 2
First-principles (PBE-GGA) data for CaSi3Sb after structural relaxation, as listed in Alexandria.

Cell lengths 5.2481, 5.2481, 5.2481 Å; angles 90.00, 90.00, 90.00 degrees
Last column: nearest neighbours and their distance in Å.
Space group Pm-3m (No. 221)
Asymmetric unit:
Ca (0.0000, 0.0000, 0.0000) x1  6 Si 2.62
Si (0.0000, 0.0000, 0.5000) x3  2 Ca 2.62
Sb (0.5000, 0.5000, 0.5000) x1  12 Si 3.71

Computed properties:
formation energy without anion corrections	1.42	eV per atom
volume	28.91	Å³/atom
ΔE to the lowest computed polymorph	602	meV/atom

No. 3
First-principles (PBE-GGA) data for ZnSn2PdN after structural relaxation, as listed in Alexandria.

Cell lengths 5.1118, 5.1118, 4.8016 Å; angles 90.00, 90.00, 90.00 degrees
Last column: nearest neighbours and their distance in Å.
Space group P4/mmm (No. 123)
Asymmetric unit:
Zn (0.0000, 0.0000, 0.0000) x1  2 Pd 2.40
Sn (0.0000, 0.5000, 0.5000) x2  2 Pd 2.56
Pd (0.0000, 0.0000, 0.5000) x1  2 Zn 2.40, 4 Sn 2.56
N (0.5000, 0.5000, 0.0000) x1  8 Sn 3.51, 4 Zn 3.61

Computed properties:
formation energy without anion corrections	0.95	eV per atom
volume	25.09	Å³/atom

| no. | spin magnetization (μB per cell) | total energy (eV/atom) |
| --- | --- | --- |
| 1 | 0.00 | -4.30 |
| 2 | 0.06 | -3.06 |
| 3 | 1.30 | -3.61 |